1.
GGA-PBE GaC2Br, relaxed; polymorph energy (0 for the lowest one) = 0.000 eV/atom
1.0
-2.5033 2.5033 5.0559
2.5033 -2.5033 5.0559
2.5033 2.5033 -5.0559
Ga C Br
2 4 2
Direct
0.0000 0.0000 0.0000
0.7500 0.2500 0.5000
0.0655 0.6250 0.9405
0.3750 0.3155 0.4405
0.6845 0.1250 0.0595
0.8750 0.9345 0.5595
0.2500 0.7500 0.5000
0.5000 0.5000 0.0000



2.
GGA-PBE GaC2Br, relaxed; polymorph energy (0 for the lowest one) = 0.837 eV/atom
1.0
0.0000 2.9913 2.9913
2.9913 0.0000 2.9913
2.9913 2.9913 0.0000
Ga C Br
1 2 1
Direct
0.0000 0.0000 0.0000
0.2500 0.2500 0.2500
0.7500 0.7500 0.7500
0.5000 0.5000 0.5000



3.
GGA-PBE GaCBr2, relaxed; polymorph energy (0 for the lowest one) = 0.093 eV/atom
1.0
2.0902 1.2068 8.1019
-2.0902 1.2068 8.1019
0.0000 -2.4135 8.1019
Ga C Br
1 1 2
Direct
0.0000 0.0000 0.0000
0.5000 0.5000 0.5000
0.4068 0.4068 0.4068
0.5932 0.5932 0.5932



4.
GGA-PBE GaCBr2, relaxed; polymorph energy (0 for the lowest one) = 0.112 eV/atom
1.0
1.7315 0.9997 8.9627
-1.7315 0.9997 8.9627
0.0000 -1.9993 8.9627
Ga C Br
1 1 2
Direct
0.0000 0.0000 0.0000
0.5000 0.5000 0.5000
0.1132 0.1132 0.1132
0.8868 0.8868 0.8868



5.
GGA-PBE GaCBr2, relaxed; polymorph energy (0 for the lowest one) = 0.000 eV/atom
1.0
-3.1017 3.1017 6.2147
3.1017 -3.1017 6.2147
3.1017 3.1017 -6.2147
Ga C Br
2 2 4
Direct
0.0000 0.0000 0.0000
0.7500 0.2500 0.5000
0.2500 0.7500 0.5000
0.5000 0.5000 0.0000
0.2555 0.6250 0.1305
0.3750 0.5055 0.6305
0.4945 0.1250 0.8695
0.8750 0.7445 0.3695



6.
Density functional theory data (GGA-PBE) for Ga2MoCBr after structural relaxation.

```
Ga2MoCBr
1.0
5.0963 0.0000 0.0000
0.0000 5.0963 0.0000
0.0000 0.0000 4.7874
Ga Mo C Br
2 1 1 1
Direct
0.0000 0.5000 0.0000
0.5000 0.0000 0.0000
0.0000 0.0000 0.0000
0.5000 0.5000 0.5000
0.0000 0.0000 0.5000
```



Number 1: formation energy from raw total energies 1.902 eV per atom, electronic total energy -3.89 eV per atom. Number 2: formation energy from raw total energies 2.739 eV per atom, electronic total energy -3.05 eV per atom. Number 3: formation energy from raw total energies 1.247 eV per atom, electronic total energy -2.65 eV per atom. Number 4: formation energy from raw total energies 1.265 eV per atom, electronic total energy -2.63 eV per atom. Number 5: formation energy from raw total energies 1.153 eV per atom, electronic total energy -2.75 eV per atom. Number 6: formation energy from raw total energies 1.649 eV per atom, electronic total energy -3.91 eV per atom.